No. 1
# GGA-PBE ScCoRu2, optimized geometry
data_ScCoRu2
_chemical_formula_sum 'Sc1 Co1 Ru2'
_cell_length_a 2.811
_cell_length_b 3.732
_cell_length_c 5.591
_cell_angle_alpha 90.00
_cell_angle_beta 90.00
_cell_angle_gamma 90.00
_space_group_name_H-M_alt 'P m m 2'
_space_group_IT_number 25
_space_group_name_Hall 'P 2 -2'
loop_
_atom_site_label
_atom_site_fract_x
_atom_site_fract_y
_atom_site_fract_z
_atom_site_occupancy
Sc1 0.000 0.000 0.000 1
Co1 0.500 0.500 0.257 1
Ru1 0.000 0.000 0.489 1
Ru2 0.500 0.500 0.708 1
# Energy of formation, eV/atom: -0.0168
# Final energy, eV per atom: -8.0141

No. 2
# GGA-PBE Ce2SbO2, optimized geometry
data_Ce2SbO2
_chemical_formula_sum 'Ce2 Sb1 O2'
_cell_length_a 3.818
_cell_length_b 3.818
_cell_length_c 6.927
_cell_angle_alpha 90.00
_cell_angle_beta 90.00
_cell_angle_gamma 90.00
_space_group_name_H-M_alt 'P 4/m m m'
_space_group_IT_number 123
_space_group_name_Hall '-P 4 2'
loop_
_atom_site_label
_atom_site_fract_x
_atom_site_fract_y
_atom_site_fract_z
_atom_site_occupancy
Ce1 0.000 0.000 0.208 1
Sb1 0.500 0.500 0.500 1
O1 0.000 0.500 0.000 1
# ΔE_f (raw), kJ/mol of atoms: -210.8
# Final energy, eV per atom: -7.3658

No. 3
# GGA-PBE CePd4Pt2, optimized geometry
data_CePd4Pt2
_chemical_formula_sum 'Ce2 Pd8 Pt4'
_cell_length_a 8.636
_cell_length_b 6.733
_cell_length_c 5.429
_cell_angle_alpha 90.00
_cell_angle_beta 128.76
_cell_angle_gamma 90.00
_space_group_name_H-M_alt 'C 1 2/m 1'
_space_group_IT_number 12
_space_group_name_Hall '-C 2y'
loop_
_atom_site_label
_atom_site_fract_x
_atom_site_fract_y
_atom_site_fract_z
_atom_site_occupancy
Ce1 0.000 0.000 0.000 1
Pd1 0.207 0.208 0.708 1
Pt1 0.000 0.500 0.250 1
# Energy of formation, eV/atom: -0.5321
# Final energy, eV per atom: -6.0731

No. 4
# GGA-PBE La3Dy2ThN6, optimized geometry
data_La3Dy2ThN6
_chemical_formula_sum 'La6 Dy4 Th2 N12'
_cell_length_a 6.291
_cell_length_b 10.889
_cell_length_c 6.345
_cell_angle_alpha 90.00
_cell_angle_beta 109.28
_cell_angle_gamma 90.00
_space_group_name_H-M_alt 'C 1 2/m 1'
_space_group_IT_number 12
_space_group_name_Hall '-C 2y'
loop_
_atom_site_label
_atom_site_fract_x
_atom_site_fract_y
_atom_site_fract_z
_atom_site_occupancy
La1 0.000 0.000 0.000 1
La2 0.000 0.331 0.000 1
Dy1 0.000 0.166 0.500 1
Th1 0.000 0.500 0.500 1
N1 0.244 0.000 0.731 1
N2 0.244 0.334 0.732 1
# ΔE_f (raw), kJ/mol of atoms: -145.0
# Final energy, eV per atom: -8.2822